Record 1
Density functional theory data (PBE-GGA) for a geometry-optimized NbVCr structure.

abc: 2.7127 4.2886 7.4770
angles: 90.00 90.81 90.00
With the nearest neighbours (Å) after each atom.
Fractional coordinates of all 6 atoms:
Nb: 0.0000 0.0000 0.0000  3 Cr 2.59-2.66, 4 Nb 2.71-2.74
Nb: 0.3291 0.5000 0.8068  3 V 2.70-2.71, 4 Nb 2.71-2.74, 1 Cr 2.87
V: 0.6541 0.0000 0.6230  1 Cr 2.37, 2 V 2.63
V: 0.9971 0.5000 0.4635  3 Cr 2.34-2.56
Cr: 0.3438 0.0000 0.3255  3 V 2.37-2.56, 1 Nb 2.59, 2 Cr 2.60
Cr: 0.6726 0.5000 0.1713  1 V 2.34, 2 Cr 2.60

Computed properties:
Offset from the most stable computed form, meV/atom: 174
Size of the total moment, μB/f.u.: 0.0
Theoretical density, g/cm³: 7.5
Formation energy, eV/atom: 0.064

***

Record 2
Density functional theory data (PBE-GGA) for a geometry-optimized HgAu2Cl structure.

abc: 6.6888 6.6888 6.6888
angles: 146.18 146.18 48.58
With the nearest neighbours (Å) after each atom.
Fractional coordinates of all 4 atoms:
Hg: 0.0000 0.0000 0.0000  4 Cl 2.75
Au: 0.2500 0.7500 0.5000  4 Au 2.75
Au: 0.7500 0.2500 0.5000  4 Au 2.75
Cl: 0.5000 0.5000 0.0000  4 Hg 2.75

Computed properties:
Offset from the most stable computed form, meV/atom: 189
Raw formation energy, eV/f.u.: 0.62
Size of the total moment, μB/f.u.: 0.0
Theoretical density, g/cm³: 11.3

***

Record 3
Density functional theory data (PBE-GGA) for a geometry-optimized TbPr3Er2S6 structure.

abc: 6.8545 6.8545 7.0480
angles: 99.33 99.33 120.15
With the nearest neighbours (Å) after each atom.
Fractional coordinates of all 12 atoms:
Tb: 0.0000 0.0000 0.0000  6 S 2.76-2.77
Pr: 0.1651 0.8349 0.5000  6 S 2.90-2.92
Pr: 0.5000 0.5000 0.5000  6 S 2.89-2.92
Pr: 0.8349 0.1651 0.5000  6 S 2.90-2.92
Er: 0.3334 0.6666 0.0000  6 S 2.73-2.74
Er: 0.6666 0.3334 0.0000  6 S 2.73-2.74
S: 0.0763 0.4134 0.2293  2 Er 2.74, 1 Tb 2.77, 3 Pr 2.90-2.92
S: 0.2612 0.2612 0.7719  2 Er 2.73, 1 Tb 2.76, 3 Pr 2.89-2.91
S: 0.4134 0.0763 0.2293  2 Er 2.74, 1 Tb 2.77, 3 Pr 2.90-2.92
S: 0.5866 0.9237 0.7707  2 Er 2.74, 1 Tb 2.77, 3 Pr 2.90-2.92
S: 0.7388 0.7388 0.2281  2 Er 2.73, 1 Tb 2.76, 3 Pr 2.89-2.91
S: 0.9237 0.5866 0.7707  2 Er 2.74, 1 Tb 2.77, 3 Pr 2.90-2.92

Computed properties:
Raw formation energy, eV/f.u.: -24.09
Size of the total moment, μB/f.u.: 0.0
Theoretical density, g/cm³: 6.8

***

Record 4
Density functional theory data (PBE-GGA) for a geometry-optimized NdGdAlRu structure.

abc: 5.0642 5.0642 5.0642
angles: 60.00 60.00 60.00
With the nearest neighbours (Å) after each atom.
Fractional coordinates of all 4 atoms:
Nd: 0.0000 0.0000 0.0000  4 Ru 3.10, 4 Al 3.10
Gd: 0.5000 0.5000 0.5000  4 Al 3.10, 4 Ru 3.10
Al: 0.7500 0.7500 0.7500  4 Gd 3.10, 4 Nd 3.10
Ru: 0.2500 0.2500 0.2500  4 Gd 3.10, 4 Nd 3.10

Computed properties:
Size of the total moment, μB/f.u.: 7.0
Theoretical density, g/cm³: 7.8
Formation energy, eV/atom: -0.239

***

Question: The highest size of the total moment belongs to which entry?
Answer: NdGdAlRu